A plane-wave DFT calculation with GGA-PBE was carried out for Nd2B8O15 after structural relaxation.

Unit cell a=9.0803 b=4.1903 c=12.4271 alpha=90.00 beta=116.93 gamma=90.00
Closest atoms and distances in Å follow each position.
Fractional coordinates of all 50 atoms:
1 O 0.0713 0.1247 0.6614  3 B 1.51-1.52
2 O 0.4764 0.2553 0.4233  1 B 1.42
3 O 0.1644 0.8112 0.5424  2 B 1.46-1.47
4 O 0.0607 0.6317 0.9122  2 B 1.41-1.44
5 B 0.9108 0.7081 0.0845  4 O 1.44-1.51
6 B 0.0892 0.2919 0.9155  4 O 1.44-1.51
7 O 0.6390 0.1228 0.7368  2 B 1.46-1.47
8 B 0.9063 0.2146 0.3731  4 O 1.41-1.52
9 O 0.5236 0.2553 0.0767  1 B 1.42
10 O 0.5000 0.6417 0.7500  2 B 1.45
11 O 0.2225 0.3785 0.2384  3 B 1.51-1.55
12 O 0.9287 0.8753 0.3386  3 B 1.51-1.52
13 Nd 0.6413 0.2603 0.9473  5 O 2.30-2.57
14 B 0.7825 0.2707 0.7338  4 O 1.43-1.52
15 B 0.9108 0.2919 0.5845  4 O 1.44-1.51
16 O 0.5236 0.7447 0.5767  1 B 1.42
17 O 0.0713 0.8753 0.1614  3 B 1.51-1.52
18 B 0.0892 0.7081 0.4155  4 O 1.44-1.51
19 B 0.0937 0.7854 0.6269  4 O 1.41-1.52
20 O 0.6390 0.8772 0.2368  2 B 1.46-1.47
21 O 0.8356 0.8112 0.9576  2 B 1.46-1.47
22 B 0.3941 0.2155 0.2963  4 O 1.42-1.55
23 O 0.7824 0.2222 0.6199  2 B 1.43-1.45
24 O 0.7775 0.3785 0.2616  3 B 1.51-1.55
25 O 0.1644 0.1888 0.0424  2 B 1.46-1.47
26 O 0.3610 0.8772 0.2632  2 B 1.46-1.47
27 O 0.2225 0.6215 0.7384  3 B 1.51-1.55
28 Nd 0.6413 0.7397 0.4473  5 O 2.30-2.57
29 B 0.6059 0.2155 0.2037  4 O 1.42-1.55
30 B 0.2175 0.2707 0.7662  4 O 1.43-1.52
31 O 0.8356 0.1888 0.4576  2 B 1.46-1.47
32 O 0.9393 0.3683 0.0878  2 B 1.41-1.44
33 B 0.3941 0.7845 0.7963  4 O 1.42-1.55
34 O 0.9393 0.6317 0.5878  2 B 1.41-1.44
35 B 0.9063 0.7854 0.8731  4 O 1.41-1.52
36 B 0.7825 0.7293 0.2338  4 O 1.43-1.52
37 Nd 0.3587 0.2603 0.5527  5 O 2.30-2.57
38 O 0.5000 0.3583 0.2500  2 B 1.45
39 B 0.6059 0.7845 0.7037  4 O 1.42-1.55
40 O 0.2176 0.2222 0.8801  2 B 1.43-1.45
41 B 0.2175 0.7293 0.2662  4 O 1.43-1.52
42 O 0.7775 0.6215 0.7616  3 B 1.51-1.55
43 O 0.9287 0.1247 0.8386  3 B 1.51-1.52
44 Nd 0.3587 0.7397 0.0527  5 O 2.30-2.57
45 B 0.0937 0.2146 0.1269  4 O 1.41-1.52
46 O 0.0607 0.3683 0.4122  2 B 1.41-1.44
47 O 0.3610 0.1228 0.7632  2 B 1.46-1.47
48 O 0.4764 0.7447 0.9233  1 B 1.42
49 O 0.2176 0.7778 0.3801  2 B 1.43-1.45
50 O 0.7824 0.7778 0.1199  2 B 1.43-1.45

Calculated values
- energy (eV/atom) = -8.14
- calculated volume (Å³ per atom) = 8.4